Compound: LaV3C
Source: the Alexandria database
Functional: PBE
Structure: optimized geometry

The volume comes out at 92.5 Å³/cell. For the formation energy, the calculation gives 2856 meV per atom. As for the total energy: -5.445 eV/atom. The value obtained for the density of states at the Fermi level is 0.769 states/eV per atom. The calculation puts the mass density at 5.5 g/cm3.

The space group is Pm-3m (No. 221) and the conventional cell measures 4.523, 4.523 and 4.523 Å, with angles of 90.00, 90.00 and 90.00 degrees. The distinct sites, in fractional coordinates, are La at (0.000, 0.000, 0.000), V at (0.000, 0.000, 0.500) and C at (0.500, 0.500, 0.500).

***

Compound: BeInAs2
Source: the Alexandria database
Functional: PBE
Structure: optimized geometry

The volume comes out at 90.5 Å³/cell. For the formation energy, the calculation gives -64 meV per atom. As for the total energy: -4.005 eV/atom. The value obtained for the density of states at the Fermi level is 0.409 states/eV per atom. The calculation puts the mass density at 5.0 g/cm3.

The space group is P-4m2 (No. 115) and the conventional cell measures 3.883, 3.883 and 6.001 Å, with angles of 90.00, 90.00 and 90.00 degrees. The distinct sites, in fractional coordinates, are Be at (0.000, 0.000, 0.000), In at (0.500, 0.500, 0.500) and As at (0.000, 0.500, 0.807).

***

Compound: MnGePt6
Source: the Alexandria database
Functional: PBE
Structure: optimized geometry

The volume comes out at 123.5 Å³/cell. For the formation energy, the calculation gives -306 meV per atom. As for the total energy: -6.560 eV/atom. The value obtained for the density of states at the Fermi level is 1.073 states/eV per atom. The calculation puts the mass density at 17.5 g/cm3.

The space group is P4/mmm (No. 123) and the conventional cell measures 3.943, 3.943 and 7.944 Å, with angles of 90.00, 90.00 and 90.00 degrees. The distinct sites, in fractional coordinates, are Mn at (0.000, 0.000, 0.000), Ge at (0.000, 0.000, 0.500), Pt at (0.000, 0.500, 0.247), Pt at (0.500, 0.500, 0.000) and Pt at (0.500, 0.500, 0.500).

***

Compound: SiPdPt
Source: the Alexandria database
Functional: PBE
Structure: optimized geometry

The volume comes out at 100.8 Å³/cell. The value obtained for the formation energy without anion corrections is -0.028 eV/atom. As for the total energy: -5.580 eV/atom. The value obtained for the density of states at the Fermi level is 0.736 states/eV per atom. The calculation puts the mass density at 10.9 g/cm3.

The space group is I4mm (No. 107) and the conventional cell measures 2.745, 2.745 and 13.371 Å, with angles of 90.00, 90.00 and 90.00 degrees. The distinct sites, in fractional coordinates, are Si at (0.000, 0.000, 0.000), Pd at (0.000, 0.000, 0.170) and Pt at (0.000, 0.000, 0.830).

***

What is the mass density in the fourth record? 10.9 g/cm3

***

Look up the total energy of the first one. -5.445 eV/atom